Computed, not measured: crystalline Sc4GaSe3 at its relaxed geometry at the PBE level of DFT.

```
data_Sc4GaSe3
_space_group_name_H-M_alt 'P 1'
_space_group_IT_number 1
_cell_length_a 5.4910
_cell_length_b 5.4910
_cell_length_c 5.4910
_cell_angle_alpha 90.00
_cell_angle_beta 90.00
_cell_angle_gamma 90.00
loop_
_space_group_symop_operation_xyz
'x,y,z'
loop_
_atom_site_label
_atom_site_type_symbol
_atom_site_fract_x
_atom_site_fract_y
_atom_site_fract_z
Sc1 Sc 0.5000 0.0000 0.0000
Sc2 Sc 0.0000 0.5000 0.0000
Sc3 Sc 0.0000 0.0000 0.5000
Sc4 Sc 0.5000 0.5000 0.5000
Se1 Se 0.0000 0.5000 0.5000
Se2 Se 0.5000 0.0000 0.5000
Se3 Se 0.5000 0.5000 0.0000
Ga1 Ga 0.0000 0.0000 0.0000
```

Output
V = 20.70 A^3/atom
SG = Pm-3m, No. 221
Formation energy without anion corrections = -1.352 eV per atom

=====

Computed, not measured: crystalline CdOs2Ru at its relaxed geometry at the PBE level of DFT.

```
data_CdOs2Ru
_space_group_name_H-M_alt 'P 1'
_space_group_IT_number 1
_cell_length_a 4.8706
_cell_length_b 4.8706
_cell_length_c 4.8706
_cell_angle_alpha 132.64
_cell_angle_beta 132.64
_cell_angle_gamma 69.22
loop_
_space_group_symop_operation_xyz
'x,y,z'
loop_
_atom_site_label
_atom_site_type_symbol
_atom_site_fract_x
_atom_site_fract_y
_atom_site_fract_z
Cd1 Cd 0.7500 0.2500 0.5000
Os1 Os 0.0000 0.0000 0.0000
Os2 Os 0.2500 0.7500 0.5000
Ru1 Ru 0.5000 0.5000 0.0000
```

Output
V = 15.34 A^3/atom
SG = I-4m2, No. 119
Formation enthalpy at 0 K = 0.645 eV per atom

=====

| no. | theoretical density (Mg/m³) |
| --- | --- |
| 1 | 4.88 |
| 2 | 16.07 |